A relaxed structure of SrV2Cu, computed with GGA-PBE.

## Properties
- D(E_F): 23.790 states/eV/cell
- E_form: 0.882 eV/atom
- ΔE to the lowest computed polymorph: 0.000 eV per atom

Cell lengths 4.2860, 4.2860, 19.4981 Å; angles 90.00, 90.00, 90.00 degrees
With the nearest neighbours (Å) after each atom.
Space group I4_1/amd (No. 141, origin choice 2)
Unique sites:
Sr  0.0000  0.2500  0.3750 (multiplicity 4)  4 Cu 3.03
V  0.0000  0.0000  0.0000 (multiplicity 8)  2 V 2.14
Cu  0.0000  0.2500  0.8750 (multiplicity 4)  4 V 2.66